Pr5Y2Tm4 | PBE | relaxed

The energy relative to the elements is 0.13 eV/atom. The density of states at the Fermi level is 1.397 states/eV/atom. The spin magnetization comes out at 0.000 μB per cell. The space group is C2/m. The energy is -4.841 eV/atom. The volume is 377.4 Å³/cell.

abc: 3.588 11.889 9.232
angles: 102.07 101.20 90.00
Positions (direct):
Tm 0.018 0.729 0.036
Y 0.349 0.742 0.699
Pr 0.835 0.998 0.669
Y 0.651 0.258 0.301
Tm 0.313 0.236 0.626
Pr 0.853 0.487 0.706
Pr 0.147 0.513 0.294
Pr 0.500 0.000 0.000
Tm 0.982 0.271 0.964
Tm 0.687 0.764 0.374
Pr 0.165 0.002 0.331